Record 1
First-principles (PBE) data for an optimized crystal structure of Er6CdAu5, as listed in Alexandria.

abc: 8.809 8.809 8.809
angles: 146.54 132.02 59.76
Element x y z (fractional)
1 Er 0.075 0.330 0.746
2 Er 0.240 0.000 0.240
3 Er 0.416 0.670 0.746
4 Er 0.584 0.330 0.254
5 Er 0.760 0.000 0.760
6 Er 0.925 0.670 0.254
7 Cd 0.500 0.500 0.000
8 Au 0.000 0.500 0.500
9 Au 0.168 0.168 0.000
10 Au 0.345 0.845 0.500
11 Au 0.655 0.155 0.500
12 Au 0.832 0.832 0.000

Results
energy relative to the elements	-787.7	meV per atom
magnetic moment	0.0	μB per formula unit
N(E_F)	5.6	states/eV/cell
space-group type	Immm

=====

Record 2
First-principles (PBE) data for an optimized crystal structure of LiDyTmCo, as listed in Alexandria.

abc: 6.818 6.818 6.818
angles: 90.00 90.00 90.00
Element x y z (fractional)
1 Li 0.000 0.000 0.000
2 Li 0.000 0.500 0.500
3 Li 0.500 0.000 0.500
4 Li 0.500 0.500 0.000
5 Dy 0.250 0.250 0.750
6 Dy 0.250 0.750 0.250
7 Dy 0.750 0.250 0.250
8 Dy 0.750 0.750 0.750
9 Tm 0.250 0.250 0.250
10 Tm 0.250 0.750 0.750
11 Tm 0.750 0.250 0.750
12 Tm 0.750 0.750 0.250
13 Co 0.000 0.000 0.500
14 Co 0.000 0.500 0.000
15 Co 0.500 0.000 0.000
16 Co 0.500 0.500 0.500

Results
energy relative to the elements	-97.6	meV per atom
magnetic moment	0.0	μB per formula unit
N(E_F)	12.4	states/eV/cell
space-group type	F-43m

=====

Record 3
First-principles (PBE) data for an optimized crystal structure of NaCdP3, as listed in Alexandria.

abc: 5.061 5.061 5.061
angles: 90.00 90.00 90.00
Element x y z (fractional)
1 Na 0.000 0.000 0.000
2 Cd 0.500 0.500 0.500
3 P 0.000 0.500 0.500
4 P 0.500 0.000 0.500
5 P 0.500 0.500 0.000

Results
relative energy among the computed polymorphs	0	meV per atom
energy relative to the elements	888.2	meV per atom
magnetic moment	0.0	μB per formula unit
N(E_F)	4.2	states/eV/cell
space-group type	Pm-3m